1.
Below is a relaxed structure of Ba3Li2Tl4Zn2, with properties calculated at the PBE-GGA level.

a b c (Å): 5.234 5.234 14.155
angles (deg): 90.00 90.00 120.00
Fractional coordinates of all 11 atoms:
1 Ba 0.000 0.000 0.705
2 Ba 0.000 0.000 0.295
3 Ba 0.000 0.000 0.000
4 Tl 0.333 0.667 0.840
5 Tl 0.667 0.333 0.160
6 Tl 0.667 0.333 0.569
7 Tl 0.333 0.667 0.431
8 Zn 0.333 0.667 0.159
9 Zn 0.667 0.333 0.841
10 Li 0.667 0.333 0.381
11 Li 0.333 0.667 0.619

## Properties
* energy of formation: -0.202 eV per atom
* size of the total moment: 0.00 μB per atom
* space group: P-3m1, No. 164
* raw total energy: -23.8 eV per cell

2.
Below is a relaxed structure of BaLi4Tl2Zn, with properties calculated at the PBE-GGA level.

a b c (Å): 4.725 4.725 10.299
angles (deg): 76.74 76.74 60.00
Fractional coordinates of all 8 atoms:
1 Tl 0.240 0.240 0.279
2 Tl 0.760 0.760 0.721
3 Li 0.860 0.860 0.419
4 Li 0.585 0.585 0.246
5 Li 0.415 0.415 0.754
6 Li 0.140 0.140 0.581
7 Ba 0.000 0.000 0.000
8 Zn 0.500 0.500 0.500

## Properties
* energy of formation: -0.187 eV per atom
* size of the total moment: 0.00 μB per atom
* space group: R-3m, No. 166
* raw total energy: -17.1 eV per cell

3.
Below is a relaxed structure of BaLi4Tm, with properties calculated at the PBE-GGA level.

a b c (Å): 6.197 6.197 6.197
angles (deg): 60.00 60.00 60.00
Fractional coordinates of all 6 atoms:
1 Tm 0.000 0.000 0.000
2 Li 0.628 0.628 0.628
3 Li 0.117 0.628 0.628
4 Li 0.628 0.628 0.117
5 Li 0.628 0.117 0.628
6 Ba 0.250 0.250 0.250

## Properties
* energy of formation: 0.149 eV per atom
* size of the total moment: 0.00 μB per atom
* space group: F-43m, No. 216
* raw total energy: -13.2 eV per cell

4.
Below is a relaxed structure of BaLiV, with properties calculated at the PBE-GGA level.

a b c (Å): 6.636 8.170 3.402
angles (deg): 94.25 97.57 67.30
Fractional coordinates of all 6 atoms:
1 V 0.333 0.276 0.346
2 V 0.504 0.072 0.069
3 Li 0.474 0.513 0.970
4 Li 0.362 0.836 0.445
5 Ba 0.918 0.674 0.706
6 Ba 0.919 0.174 0.708

## Properties
* energy of formation: 0.535 eV per atom
* size of the total moment: 0.00 μB per atom
* space group: P-1, No. 2
* energy above the most stable polymorph in this dataset: 77 meV/atom
* raw total energy: -22.7 eV per cell

5.
Below is a relaxed structure of BaLiV, with properties calculated at the PBE-GGA level.

a b c (Å): 6.495 6.815 4.354
angles (deg): 71.51 92.57 87.72
Fractional coordinates of all 6 atoms:
1 V 0.277 0.150 0.287
2 V 0.164 0.195 0.873
3 Ba 0.085 0.675 0.095
4 Ba 0.595 0.473 0.676
5 Li 0.541 0.963 0.905
6 Li 0.849 0.090 0.374

## Properties
* energy of formation: 0.500 eV per atom
* size of the total moment: 0.00 μB per atom
* space group: P1, No. 1
* energy above the most stable polymorph in this dataset: 41 meV/atom
* raw total energy: -22.9 eV per cell

6.
Below is a relaxed structure of BaLi2V, with properties calculated at the PBE-GGA level.

a b c (Å): 5.409 5.409 5.409
angles (deg): 60.00 60.00 60.00
Fractional coordinates of all 4 atoms:
1 Li 0.750 0.750 0.750
2 Li 0.250 0.250 0.250
3 Ba 0.500 0.500 0.500
4 V 0.000 0.000 0.000

## Properties
* energy of formation: 0.627 eV per atom
* size of the total moment: 1.02 μB per atom
* space group: Fm-3m, No. 225
* energy above the most stable polymorph in this dataset: 0 meV/atom
* raw total energy: -12.4 eV per cell

7.
Below is a relaxed structure of BaLiV3, with properties calculated at the PBE-GGA level.

a b c (Å): 4.987 4.987 4.987
angles (deg): 90.00 90.00 90.00
Fractional coordinates of all 5 atoms:
1 V 0.000 0.500 0.000
2 V 0.500 0.000 0.000
3 V 0.000 0.000 0.500
4 Ba 0.500 0.500 0.500
5 Li 0.000 0.000 0.000

## Properties
* energy of formation: 1.348 eV per atom
* size of the total moment: 2.43 μB per atom
* space group: Pm-3m, No. 221
* energy above the most stable polymorph in this dataset: 0 meV/atom
* raw total energy: -24.5 eV per cell

8.
Below is a relaxed structure of BaLi2V, with properties calculated at the PBE-GGA level.

a b c (Å): 4.895 4.895 11.135
angles (deg): 77.30 77.30 90.00
Fractional coordinates of all 8 atoms:
1 Ba 0.000 0.000 0.000
2 Ba 0.750 0.250 0.500
3 V 0.250 0.750 0.500
4 V 0.500 0.500 0.000
5 Li 0.494 0.125 0.250
6 Li 0.375 0.506 0.750
7 Li 0.256 0.625 0.250
8 Li 0.875 0.744 0.750

## Properties
* energy of formation: 0.728 eV per atom
* size of the total moment: 1.18 μB per atom
* space group: I-42d, No. 122
* energy above the most stable polymorph in this dataset: 102 meV/atom
* raw total energy: -23.9 eV per cell